1.
Material: Pr3NCl3
Method: DFT, GGA-PBE
State: optimized geometry

Formation energy (no corrections) ... -1187 kJ/mol of formula units

Lattice parameters (Å, degrees): 8.232 3.806 11.170 90.00 93.17 90.00
Positions (direct):
Pr 0.088 0.250 0.392
Pr 0.133 0.250 0.844
Pr 0.326 0.750 0.626
Pr 0.674 0.250 0.374
Pr 0.867 0.750 0.156
Pr 0.912 0.750 0.608
N 0.123 0.250 0.619
N 0.877 0.750 0.381
Cl 0.128 0.250 0.122
Cl 0.376 0.750 0.368
Cl 0.389 0.750 0.878
Cl 0.611 0.250 0.122
Cl 0.624 0.250 0.632
Cl 0.872 0.750 0.878

=====

2.
Material: LiUSbN
Method: DFT, GGA-PBE
State: optimized geometry

Formation energy (no corrections) ... -360 kJ/mol of formula units

Lattice parameters (Å, degrees): 3.930 3.930 9.601 90.00 90.00 90.00
Positions (direct):
Li 0.250 0.750 0.000
Li 0.750 0.250 0.000
U 0.250 0.250 0.382
U 0.750 0.750 0.618
Sb 0.250 0.250 0.797
Sb 0.750 0.750 0.203
N 0.250 0.750 0.500
N 0.750 0.250 0.500

=====

3.
Material: Ba3C4
Method: DFT, GGA-PBE
State: optimized geometry

Energy of formation ... 1.319 eV/atom
Energy above the most stable polymorph in this dataset ... 0.0 meV per atom

Lattice parameters (Å, degrees): 7.348 7.348 3.983 90.00 90.00 120.00
Positions (direct):
Ba 0.000 0.500 0.000
Ba 0.500 0.000 0.000
Ba 0.500 0.500 0.000
C 0.000 0.000 0.161
C 0.000 0.000 0.839
C 0.333 0.667 0.500
C 0.667 0.333 0.500

=====

4.
Material: Ho2RhS
Method: DFT, GGA-PBE
State: optimized geometry

Formation energy (no corrections) ... -510 kJ/mol of formula units
Energy above the most stable polymorph in this dataset ... 91.6 meV per atom

Lattice parameters (Å, degrees): 7.329 7.329 7.329 30.23 30.23 30.23
Positions (direct):
Ho 0.248 0.248 0.248
Ho 0.752 0.752 0.752
Rh 0.500 0.500 0.500
S 0.000 0.000 0.000

=====

Ordered DOS at the Fermi energy results: 5.1; 9.9; 5.1; 1.7; unit states/eV per cell.
Ordered VASP energy results: -40.5; -29.4; -33.4; -25.9; unit eV per formula unit.
Ordered magnetization results: 0.00; 0.27; 0.47; 0.00; unit μB per atom.